No. 1
The following is a PBE calculation of a relaxed structure of Ca2Al4Ag3Ge, from the Alexandria database.

energy relative to the elements: -0.257 eV/atom

The structure in POSCAR format:
```
Ca2Al4Ag3Ge
1.0
4.298 0.000 0.000
0.000 4.298 0.000
0.000 0.000 11.315
Ca Al Ag Ge
2 4 3 1
Direct
0.000 0.500 0.249
0.500 0.000 0.751
0.000 0.000 0.000
0.000 0.500 0.636
0.500 0.000 0.364
0.500 0.500 0.000
0.000 0.500 0.862
0.500 0.000 0.138
0.500 0.500 0.500
0.000 0.000 0.500
```

No. 2
The following is a PBE calculation of a relaxed structure of KSiAu3, from the Alexandria database.

energy relative to the elements, uncorrected: -0.04 eV per atom

The structure in POSCAR format:
```
KSiAu3
1.0
0.000 6.535 6.535
6.535 0.000 6.535
6.535 6.535 0.000
K Si Au
4 4 12
Direct
0.000 0.000 0.000
0.000 0.000 0.500
0.000 0.500 0.000
0.500 0.000 0.000
0.000 0.500 0.500
0.500 0.000 0.500
0.500 0.500 0.000
0.500 0.500 0.500
0.187 0.187 0.563
0.187 0.563 0.187
0.187 0.563 0.563
0.437 0.437 0.813
0.437 0.813 0.437
0.437 0.813 0.813
0.563 0.187 0.187
0.563 0.187 0.563
0.563 0.563 0.187
0.813 0.437 0.437
0.813 0.437 0.813
0.813 0.813 0.437
```

No. 3
The following is a PBE calculation of a relaxed structure of Ni2PCl, from the Alexandria database.

energy relative to the lowest polymorph listed for this composition: 0.161 eV/atom
energy relative to the elements, uncorrected: -0.16 eV per atom

The structure in POSCAR format:
```
Ni2PCl
1.0
-1.548 1.588 6.173
1.548 -1.588 6.173
1.548 1.588 -6.173
Ni P Cl
2 1 1
Direct
0.000 0.000 0.000
0.666 0.166 0.500
0.127 0.627 0.500
0.387 0.387 0.000
```

No. 4
The following is a PBE calculation of a relaxed structure of RbTlAuBr6, from the Alexandria database.

energy relative to the elements, uncorrected: -0.62 eV per atom

The structure in POSCAR format:
```
RbTlAuBr6
1.0
4.034 -5.863 0.000
4.034 5.863 0.000
-1.186 0.000 7.396
Rb Tl Au Br
1 1 1 6
Direct
0.000 0.000 0.000
0.647 0.353 0.500
0.294 0.706 0.500
0.336 0.055 0.674
0.341 0.434 0.275
0.566 0.659 0.725
0.606 0.055 0.238
0.945 0.394 0.762
0.945 0.664 0.326
```

no.,volume (Å³/cell),density (g/cm3)
1,209.0,4.64
2,558.1,7.83
3,60.7,5.03
4,349.9,4.59